1.
Here is MnZnPd6 after structural relaxation from the Alexandria database. Energies are from PBE-GGA.

Output
**Fermi-level density of states**: 0.84 states/eV per atom
**E above lowest polymorph**: 257 meV per atom
**Theoretical density**: 9.273 g cm⁻³
**Formation energy**: -0.0067 eV per atom
**Crystal system**: monoclinic

a b c (Å): 7.6241 5.3105 7.1505
angles (deg): 90.00 110.15 90.00
Closest atoms and distances in Å follow each position.
Space group C2/m (No. 12)
Symmetry-distinct sites (fractional):
Mn: 0.0000 0.0000 0.0000 (multiplicity 2)  10 Pd 2.65-2.90
Zn: 0.0000 0.5000 0.5000 (multiplicity 2)  6 Pd 2.55-2.59
Pd: 0.1434 0.0000 0.4317 (multiplicity 4)  1 Zn 2.59, 7 Pd 2.68-2.85, 1 Mn 2.90
Pd: 0.1951 0.2430 0.8017 (multiplicity 8)  1 Zn 2.55, 6 Pd 2.58-2.85, 2 Mn 2.65-2.71

---

2.
Here is MnZnPd3 after structural relaxation from the Alexandria database. Energies are from PBE-GGA.

Output
**Fermi-level density of states**: 0.39 states/eV per atom
**E above lowest polymorph**: 0 meV per atom
**Theoretical density**: 9.834 g cm⁻³
**Formation energy**: -0.3637 eV per atom
**Crystal system**: monoclinic

a b c (Å): 4.1730 4.1668 8.7868
angles (deg): 90.00 103.66 90.00
Closest atoms and distances in Å follow each position.
Space group P2_1/m (No. 11)
Symmetry-distinct sites (fractional):
Mn: 0.1506 0.2500 0.3013 (multiplicity 2)  8 Pd 2.63-2.69
Zn: 0.3493 0.2500 0.6984 (multiplicity 2)  8 Pd 2.63-2.69
Pd: 0.0575 0.7500 0.1141 (multiplicity 2)  2 Mn 2.63, 2 Zn 2.63, 4 Pd 2.84-2.85
Pd: 0.2505 0.7500 0.5009 (multiplicity 2)  4 Zn 2.68-2.69, 4 Mn 2.68-2.69, 4 Pd 2.95
Pd: 0.4431 0.7500 0.8869 (multiplicity 2)  2 Zn 2.63, 2 Mn 2.63, 6 Pd 2.84-2.95

---

3.
Here is MnZnPd3 after structural relaxation from the Alexandria database. Energies are from PBE-GGA.

Output
**Fermi-level density of states**: 2.00 states/eV per atom
**E above lowest polymorph**: 1392 meV per atom
**Theoretical density**: 7.704 g cm⁻³
**Formation energy**: 1.0281 eV per atom
**Crystal system**: cubic

a b c (Å): 4.5590 4.5590 4.5590
angles (deg): 90.00 90.00 90.00
Closest atoms and distances in Å follow each position.
Space group Pm-3m (No. 221)
Symmetry-distinct sites (fractional):
Mn: 0.0000 0.0000 0.0000 (multiplicity 1)  12 Pd 3.22
Zn: 0.5000 0.5000 0.5000 (multiplicity 1)  6 Pd 2.28
Pd: 0.0000 0.5000 0.5000 (multiplicity 3)  2 Zn 2.28

---

4.
Here is MnZn2Pd after structural relaxation from the Alexandria database. Energies are from PBE-GGA.

Output
**Fermi-level density of states**: 0.65 states/eV per atom
**Theoretical density**: 8.391 g cm⁻³
**Formation energy**: -0.2052 eV per atom
**Crystal system**: tetragonal

a b c (Å): 3.8983 3.8983 3.8048
angles (deg): 90.00 90.00 90.00
Closest atoms and distances in Å follow each position.
Space group P4/mmm (No. 123)
Symmetry-distinct sites (fractional):
Mn: 0.0000 0.0000 0.0000 (multiplicity 1)  8 Zn 2.72, 4 Pd 2.76
Zn: 0.0000 0.5000 0.5000 (multiplicity 2)  4 Pd 2.72, 4 Mn 2.72, 4 Zn 2.76
Pd: 0.5000 0.5000 0.0000 (multiplicity 1)  8 Zn 2.72, 4 Mn 2.76

---

5.
Here is MnZnPd5 after structural relaxation from the Alexandria database. Energies are from PBE-GGA.

Output
**Fermi-level density of states**: 0.58 states/eV per atom
**E above lowest polymorph**: 72 meV per atom
**Theoretical density**: 9.419 g cm⁻³
**Formation energy**: -0.1087 eV per atom
**Crystal system**: monoclinic

a b c (Å): 9.1834 5.6643 9.2450
angles (deg): 90.00 106.91 90.00
Closest atoms and distances in Å follow each position.
Space group C2/c (No. 15)
Symmetry-distinct sites (fractional):
Mn: 0.0000 0.1189 0.2500 (multiplicity 4)  7 Pd 2.54-2.77
Zn: 0.2500 0.2500 0.0000 (multiplicity 4)  6 Pd 2.59-2.79
Pd: 0.0000 0.3347 0.7500 (multiplicity 4)  1 Mn 2.57, 8 Pd 2.67-2.83, 2 Zn 2.79
Pd: 0.1093 0.3468 0.4936 (multiplicity 8)  1 Mn 2.54, 1 Zn 2.62, 7 Pd 2.68-2.83
Pd: 0.2463 0.4083 0.2617 (multiplicity 8)  1 Zn 2.59, 2 Mn 2.65-2.77, 7 Pd 2.67-2.84

---

6.
Here is MnZn4Pd5 after structural relaxation from the Alexandria database. Energies are from PBE-GGA.

Output
**Fermi-level density of states**: 0.22 states/eV per atom
**Theoretical density**: 9.680 g cm⁻³
**Formation energy**: -0.4877 eV per atom
**Crystal system**: tetragonal

a b c (Å): 3.1434 3.1434 14.7344
angles (deg): 90.00 90.00 90.00
Closest atoms and distances in Å follow each position.
Space group P4/mmm (No. 123)
Symmetry-distinct sites (fractional):
Mn: 0.0000 0.0000 0.0000 (multiplicity 1)  8 Pd 2.68, 2 Zn 2.96
Zn: 0.0000 0.0000 0.2006 (multiplicity 2)  8 Pd 2.66-2.67, 1 Zn 2.94, 1 Mn 2.96
Zn: 0.0000 0.0000 0.4003 (multiplicity 2)  8 Pd 2.66, 2 Zn 2.94
Pd: 0.5000 0.5000 0.1016 (multiplicity 2)  4 Zn 2.66, 4 Mn 2.68, 1 Pd 2.93
Pd: 0.5000 0.5000 0.3007 (multiplicity 2)  8 Zn 2.66-2.67, 2 Pd 2.93-2.94
Pd: 0.5000 0.5000 0.5000 (multiplicity 1)  8 Zn 2.66, 2 Pd 2.94

---

7.
Here is MnZn2Pd after structural relaxation from the Alexandria database. Energies are from PBE-GGA.

Output
**Fermi-level density of states**: 0.63 states/eV per atom
**Theoretical density**: 8.226 g cm⁻³
**Formation energy**: -0.1060 eV per atom
**Crystal system**: monoclinic

a b c (Å): 4.9263 2.8441 8.5759
angles (deg): 90.00 100.96 90.00
Closest atoms and distances in Å follow each position.
Space group Cm (No. 8)
Symmetry-distinct sites (fractional):
Mn: 0.0000 0.0000 0.0000 (multiplicity 2)  6 Zn 2.68-2.69, 6 Mn 2.84
Zn: 0.2487 0.0000 0.7467 (multiplicity 2)  3 Pd 2.65-2.66, 3 Mn 2.69, 6 Zn 2.84
Zn: 0.4171 0.0000 0.2522 (multiplicity 2)  3 Pd 2.65, 3 Mn 2.68-2.69, 6 Zn 2.84
Pd: 0.3325 0.5000 0.4992 (multiplicity 2)  6 Zn 2.65-2.66, 6 Pd 2.84

---

8.
Here is MnZn3Pd12 after structural relaxation from the Alexandria database. Energies are from PBE-GGA.

Output
**Fermi-level density of states**: 1.43 states/eV per atom
**Theoretical density**: 10.571 g cm⁻³
**Formation energy**: -0.2788 eV per atom
**Crystal system**: tetragonal

a b c (Å): 3.9114 3.9114 15.6914
angles (deg): 90.00 90.00 90.00
Closest atoms and distances in Å follow each position.
Space group P4/mmm (No. 123)
Symmetry-distinct sites (fractional):
Mn: 0.0000 0.0000 0.0000 (multiplicity 1)  12 Pd 2.77
Zn: 0.0000 0.0000 0.2515 (multiplicity 2)  12 Pd 2.75-2.79
Zn: 0.0000 0.0000 0.5000 (multiplicity 1)  12 Pd 2.77
Pd: 0.0000 0.5000 0.1249 (multiplicity 4)  8 Pd 2.76-2.77, 2 Mn 2.77, 2 Zn 2.79
Pd: 0.0000 0.5000 0.3751 (multiplicity 4)  4 Zn 2.75-2.77, 8 Pd 2.77-2.78
Pd: 0.5000 0.5000 0.0000 (multiplicity 1)  4 Mn 2.77, 8 Pd 2.77
Pd: 0.5000 0.5000 0.2492 (multiplicity 2)  8 Pd 2.76-2.78, 4 Zn 2.77
Pd: 0.5000 0.5000 0.5000 (multiplicity 1)  4 Zn 2.77, 8 Pd 2.77